No. 1
Computed, not measured: SbIrCl after structural relaxation at the GGA-PBE level of DFT.

Properties
VASP energy   -3.69 eV/atom
M_tot   0.00 μB per atom
Space-group type   No. 216
Formation energy without anion corrections   3.76 eV per formula unit
ΔE to the lowest computed polymorph   1.2878 eV/atom

a b c (Å): 4.496 4.496 4.496
angles (deg): 60.00 60.00 60.00
Positions (direct):
1 Sb 0.000 0.000 0.000
2 Ir 0.500 0.500 0.500
3 Cl 0.250 0.250 0.250

=====

No. 2
Computed, not measured: Rb2LiHfTe4 after structural relaxation at the GGA-PBE level of DFT.

Properties
VASP energy   -4.13 eV/atom
M_tot   0.00 μB per atom
Space-group type   No. 10
Formation energy without anion corrections   -6.68 eV per formula unit

a b c (Å): 7.673 4.225 8.881
angles (deg): 90.00 105.63 90.00
Positions (direct):
1 Rb 0.000 0.000 0.000
2 Rb 0.500 0.500 0.000
3 Li 0.000 0.500 0.500
4 Hf 0.500 0.000 0.500
5 Te 0.243 0.000 0.686
6 Te 0.285 0.500 0.310
7 Te 0.715 0.500 0.690
8 Te 0.757 0.000 0.314

=====

No. 3
Computed, not measured: Ge2Mo2Pd after structural relaxation at the GGA-PBE level of DFT.

Properties
VASP energy   -7.21 eV/atom
M_tot   0.00 μB per atom
Space-group type   No. 127
Energy of formation   12 meV/atom
ΔE to the lowest computed polymorph   0.0000 eV/atom

a b c (Å): 6.708 6.708 3.470
angles (deg): 90.00 90.00 90.00
Positions (direct):
1 Ge 0.140 0.360 0.000
2 Ge 0.360 0.860 0.000
3 Ge 0.640 0.140 0.000
4 Ge 0.860 0.640 0.000
5 Mo 0.160 0.660 0.500
6 Mo 0.340 0.160 0.500
7 Mo 0.660 0.840 0.500
8 Mo 0.840 0.340 0.500
9 Pd 0.000 0.000 0.000
10 Pd 0.500 0.500 0.000

=====

No. 4
Computed, not measured: PmTlCu after structural relaxation at the GGA-PBE level of DFT.

Properties
VASP energy   -3.96 eV/atom
M_tot   0.00 μB per atom
Space-group type   No. 187
Energy of formation   -222 meV/atom
ΔE to the lowest computed polymorph   0.0359 eV/atom

a b c (Å): 4.704 4.704 3.734
angles (deg): 90.00 90.00 120.00
Positions (direct):
1 Pm 0.000 0.000 0.000
2 Tl 0.667 0.333 0.500
3 Cu 0.333 0.667 0.500

=====

No. 5
Computed, not measured: Cs5SbSe4Br2 after structural relaxation at the GGA-PBE level of DFT.

Properties
VASP energy   -3.30 eV/atom
M_tot   0.00 μB per atom
Space-group type   No. 38
Formation energy without anion corrections   -13.92 eV per formula unit

a b c (Å): 10.956 7.486 7.486
angles (deg): 108.50 90.00 90.00
Positions (direct):
1 Cs 0.000 0.000 0.000
2 Cs 0.262 0.295 0.685
3 Cs 0.262 0.685 0.295
4 Cs 0.738 0.295 0.685
5 Cs 0.738 0.685 0.295
6 Sb 0.500 0.964 0.964
7 Se 0.312 0.131 0.131
8 Se 0.500 0.626 0.956
9 Se 0.500 0.956 0.626
10 Se 0.688 0.131 0.131
11 Br 0.000 0.506 0.979
12 Br 0.000 0.979 0.506

=====

No. 6
Computed, not measured: Hf4C23 after structural relaxation at the GGA-PBE level of DFT.

Properties
VASP energy   -8.27 eV/atom
M_tot   0.00 μB per atom
Space-group type   No. 223
Energy of formation   1059 meV/atom

a b c (Å): 7.337 7.337 7.337
angles (deg): 90.00 90.00 90.00
Positions (direct):
1 Hf 0.000 0.000 0.000
2 Hf 0.000 0.250 0.500
3 Hf 0.000 0.750 0.500
4 Hf 0.250 0.500 0.000
5 Hf 0.500 0.000 0.250
6 Hf 0.500 0.000 0.750
7 Hf 0.500 0.500 0.500
8 Hf 0.750 0.500 0.000
9 C 0.000 0.291 0.177
10 C 0.000 0.291 0.823
11 C 0.000 0.500 0.250
12 C 0.000 0.500 0.750
13 C 0.000 0.709 0.177
14 C 0.000 0.709 0.823
15 C 0.177 0.000 0.291
16 C 0.177 0.000 0.709
17 C 0.180 0.180 0.180
18 C 0.180 0.180 0.820
19 C 0.180 0.820 0.180
20 C 0.180 0.820 0.820
21 C 0.209 0.500 0.323
22 C 0.209 0.500 0.677
23 C 0.250 0.000 0.500
24 C 0.291 0.177 0.000
25 C 0.291 0.823 0.000
26 C 0.320 0.320 0.320
27 C 0.320 0.320 0.680
28 C 0.320 0.680 0.320
29 C 0.320 0.680 0.680
30 C 0.323 0.209 0.500
31 C 0.323 0.791 0.500
32 C 0.500 0.250 0.000
33 C 0.500 0.323 0.209
34 C 0.500 0.323 0.791
35 C 0.500 0.677 0.209
36 C 0.500 0.677 0.791
37 C 0.500 0.750 0.000
38 C 0.677 0.209 0.500
39 C 0.677 0.791 0.500
40 C 0.680 0.320 0.320
41 C 0.680 0.320 0.680
42 C 0.680 0.680 0.320
43 C 0.680 0.680 0.680
44 C 0.709 0.177 0.000
45 C 0.709 0.823 0.000
46 C 0.750 0.000 0.500
47 C 0.791 0.500 0.323
48 C 0.791 0.500 0.677
49 C 0.820 0.180 0.180
50 C 0.820 0.180 0.820
51 C 0.820 0.820 0.180
52 C 0.820 0.820 0.820
53 C 0.823 0.000 0.291
54 C 0.823 0.000 0.709

=====

No. 7
Computed, not measured: Ba6Bi3P after structural relaxation at the GGA-PBE level of DFT.

Properties
VASP energy   -3.78 eV/atom
M_tot   0.00 μB per atom
Space-group type   No. 14
Energy of formation   -916 meV/atom

a b c (Å): 8.526 9.219 14.849
angles (deg): 90.00 124.73 90.00
Positions (direct):
1 Ba 0.099 0.067 0.239
2 Ba 0.099 0.433 0.739
3 Ba 0.244 0.700 0.071
4 Ba 0.244 0.800 0.571
5 Ba 0.368 0.177 0.065
6 Ba 0.368 0.323 0.565
7 Ba 0.632 0.677 0.435
8 Ba 0.632 0.823 0.935
9 Ba 0.756 0.200 0.429
10 Ba 0.756 0.300 0.929
11 Ba 0.901 0.567 0.261
12 Ba 0.901 0.933 0.761
13 Bi 0.281 0.082 0.752
14 Bi 0.281 0.418 0.252
15 Bi 0.500 0.000 0.500
16 Bi 0.500 0.500 0.000
17 Bi 0.719 0.582 0.748
18 Bi 0.719 0.918 0.248
19 P 0.000 0.000 0.000
20 P 0.000 0.500 0.500

=====

No. 8
Computed, not measured: SrLi2Cd3 after structural relaxation at the GGA-PBE level of DFT.

Properties
VASP energy   -1.62 eV/atom
M_tot   0.00 μB per atom
Space-group type   No. 63
Energy of formation   -240 meV/atom

a b c (Å): 7.311 7.311 5.689
angles (deg): 90.00 90.00 80.14
Positions (direct):
1 Sr 0.178 0.822 0.750
2 Sr 0.822 0.178 0.250
3 Li 0.282 0.282 0.000
4 Li 0.282 0.282 0.500
5 Li 0.718 0.718 0.000
6 Li 0.718 0.718 0.500
7 Cd 0.038 0.578 0.250
8 Cd 0.422 0.962 0.250
9 Cd 0.444 0.556 0.250
10 Cd 0.556 0.444 0.750
11 Cd 0.578 0.038 0.750
12 Cd 0.962 0.422 0.750

=====

No. 9
Computed, not measured: Pm4Ag2O after structural relaxation at the GGA-PBE level of DFT.

Properties
VASP energy   -5.13 eV/atom
M_tot   0.00 μB per atom
Space-group type   No. 139
Formation energy without anion corrections   -6.22 eV per formula unit

a b c (Å): 8.314 8.314 8.314
angles (deg): 146.00 146.00 48.85
Positions (direct):
1 Pm 0.000 0.500 0.500
2 Pm 0.178 0.178 0.000
3 Pm 0.500 0.000 0.500
4 Pm 0.822 0.822 0.000
5 Ag 0.370 0.370 0.000
6 Ag 0.630 0.630 0.000
7 O 0.000 0.000 0.000

=====

No. 10
Computed, not measured: TiAl8Rh2 after structural relaxation at the GGA-PBE level of DFT.

Properties
VASP energy   -5.37 eV/atom
M_tot   0.00 μB per atom
Space-group type   No. 71
Energy of formation   -595 meV/atom

a b c (Å): 7.174 7.174 7.174
angles (deg): 148.21 116.41 72.85
Positions (direct):
1 Ti 0.000 0.000 0.000
2 Al 0.117 0.841 0.276
3 Al 0.156 0.656 0.500
4 Al 0.307 0.500 0.807
5 Al 0.435 0.159 0.276
6 Al 0.565 0.841 0.724
7 Al 0.693 0.500 0.193
8 Al 0.844 0.344 0.500
9 Al 0.883 0.159 0.724
10 Rh 0.300 0.300 0.000
11 Rh 0.700 0.700 0.000

=====

No. 11
Computed, not measured: ZnHg2Au after structural relaxation at the GGA-PBE level of DFT.

Properties
VASP energy   -1.16 eV/atom
M_tot   0.00 μB per atom
Space-group type   No. 71
Energy of formation   128 meV/atom

a b c (Å): 5.528 5.528 5.528
angles (deg): 143.86 121.96 70.31
Positions (direct):
1 Zn 0.000 0.000 0.000
2 Hg 0.241 0.741 0.500
3 Hg 0.759 0.259 0.500
4 Au 0.500 0.500 0.000

=====

No. 12
Computed, not measured: VGaMo3 after structural relaxation at the GGA-PBE level of DFT.

Properties
VASP energy   -8.67 eV/atom
M_tot   0.00 μB per atom
Space-group type   No. 11
Energy of formation   256 meV/atom
ΔE to the lowest computed polymorph   0.0000 eV/atom

a b c (Å): 2.719 8.686 7.175
angles (deg): 90.00 92.21 90.00
Positions (direct):
1 V 0.175 0.250 0.327
2 V 0.825 0.750 0.673
3 Ga 0.287 0.750 0.360
4 Ga 0.713 0.250 0.640
5 Mo 0.153 0.504 0.818
6 Mo 0.153 0.996 0.818
7 Mo 0.472 0.250 0.994
8 Mo 0.528 0.750 0.006
9 Mo 0.847 0.004 0.182
10 Mo 0.847 0.496 0.182